[1]
## MgRhBr2 (PBE-GGA)

Data for MgRhBr2 after structural relaxation.

Unit cell a=5.748 b=5.748 c=7.525 alpha=67.55 beta=67.55 gamma=90.00
Last column: magnetic moment on the atom in μB.
Element x y z (fractional)
Br 0.127 0.625 0.250  0.04
Br 0.623 0.125 0.250  0.04
Br 0.375 0.377 0.750  0.04
Br 0.875 0.873 0.750  0.04
Mg 0.250 0.750 0.500  0.00
Mg 0.500 0.500 0.000  0.00
Rh 0.000 0.000 0.000  0.90
Rh 0.750 0.250 0.500  0.90

Calculated values
Energy relative to the elements, uncorrected in eV/atom: -0.138
E in eV per atom: -3.211

---

[2]
## MgRhBr2 (PBE-GGA)

Data for MgRhBr2 after structural relaxation.

Unit cell a=8.358 b=8.358 c=8.358 alpha=25.57 beta=25.57 gamma=25.57
Last column: magnetic moment on the atom in μB.
Element x y z (fractional)
Br 0.898 0.898 0.898  0.01
Br 0.102 0.102 0.102  0.01
Rh 0.000 0.000 0.000  0.97
Mg 0.500 0.500 0.500  0.00

Calculated values
Energy relative to the elements, uncorrected in eV/atom: -0.236
E in eV per atom: -3.308

---

[3]
## MgRhBr2 (PBE-GGA)

Data for MgRhBr2 after structural relaxation.

Unit cell a=6.335 b=6.335 c=6.335 alpha=144.99 beta=144.99 gamma=50.35
Element x y z (fractional)
Mg 0.500 0.500 0.000
Br 0.250 0.750 0.500
Br 0.000 0.000 0.000
Rh 0.750 0.250 0.500

Calculated values
Energy relative to the elements, uncorrected in eV/atom: -0.086
E in eV per atom: -3.159

---

[4]
## MgRh2Br (PBE-GGA)

Data for MgRh2Br after structural relaxation.

Unit cell a=5.184 b=5.184 c=5.184 alpha=136.20 beta=136.20 gamma=63.67
Element x y z (fractional)
Rh 0.250 0.750 0.500
Rh 0.000 0.000 0.000
Mg 0.750 0.250 0.500
Br 0.500 0.500 0.000

Calculated values
Energy relative to the elements, uncorrected in eV/atom: 0.218
E in eV per atom: -4.275